This record from Alexandria via LeMat-Bulk describes a geometry-optimized BaSnHg structure. The functional is PBE-GGA.

**Theoretical density**: 7.679 Mg/m³
**E_form**: -0.551 eV per atom

a = 6.653 Å, b = 6.654 Å, c = 6.654 Å
α = 133.00°, β = 81.80°, γ = 79.89°
Positions (direct):
1 Ba 0.874 0.180 0.238
2 Ba 0.289 0.680 0.324
3 Sn 0.475 0.875 0.943
4 Sn 0.298 0.375 0.620
5 Hg 0.850 0.492 0.951
6 Hg 0.688 0.993 0.612


This record from Alexandria via LeMat-Bulk describes a geometry-optimized Zn2CrMo structure. The functional is PBE-GGA.

**Theoretical density**: 8.164 Mg/m³
**E_form**: 0.186 eV per atom
**Relative energy among the computed polymorphs**: 0.21 eV/f.u.

a = 4.885 Å, b = 4.885 Å, c = 4.885 Å
α = 141.76°, β = 127.09°, γ = 67.14°
Positions (direct):
1 Cr 0.485 0.485 0.000
2 Mo 0.269 0.769 0.500
3 Zn 0.997 0.997 0.000
4 Zn 0.749 0.249 0.500


This record from Alexandria via LeMat-Bulk describes a geometry-optimized LiSb2Se structure. The functional is PBE-GGA.

**Theoretical density**: 5.113 Mg/m³
**Formation energy without anion corrections**: -66 kJ/mol of formula units

a = 3.844 Å, b = 5.588 Å, c = 5.588 Å
α = 63.04°, β = 90.00°, γ = 90.00°
Positions (direct):
1 Li 0.500 0.750 0.750
2 Sb 0.000 0.025 0.025
3 Sb 0.000 0.475 0.475
4 Se 0.500 0.250 0.250


This record from Alexandria via LeMat-Bulk describes a geometry-optimized BaSr5Ca4 structure. The functional is PBE-GGA.

**Theoretical density**: 2.311 Mg/m³
**E_form**: 0.150 eV per atom
**Relative energy among the computed polymorphs**: 0.24 eV/f.u.

a = 6.566 Å, b = 11.704 Å, c = 13.757 Å
α = 90.00°, β = 90.00°, γ = 90.00°
Positions (direct):
1 Ba 0.676 0.000 0.000
2 Ba 0.324 0.500 0.500
3 Sr 0.172 0.823 0.846
4 Sr 0.172 0.177 0.846
5 Sr 0.085 0.500 0.000
6 Sr 0.172 0.823 0.154
7 Sr 0.172 0.177 0.154
8 Sr 0.828 0.677 0.346
9 Sr 0.828 0.323 0.346
10 Sr 0.915 0.000 0.500
11 Sr 0.828 0.323 0.654
12 Sr 0.828 0.677 0.654
13 Ca 0.620 0.000 0.726
14 Ca 0.615 0.670 0.000
15 Ca 0.615 0.330 0.000
16 Ca 0.620 0.000 0.274
17 Ca 0.380 0.500 0.226
18 Ca 0.385 0.830 0.500
19 Ca 0.385 0.170 0.500
20 Ca 0.380 0.500 0.774


Q: Look up the theoretical density of the first one.
A: 7.679 Mg/m³